## NaReMoPb (PBE)

Data for a relaxed NaReMoPb crystal.

Computed properties:
VASP energy in eV per cell: -101.27
M_tot in μB/f.u.: 0.0

Cell: 6.563 6.563 6.563 Å, 90.00 90.00 90.00°
Space group F-43m (No. 216)
Asymmetric unit:
Na 0.000 0.000 0.000 [4 per cell]
Re 0.000 0.000 0.500 [4 per cell]
Mo 0.250 0.250 0.750 [4 per cell]
Pb 0.250 0.250 0.250 [4 per cell]